Below is an optimized crystal structure of HfPaMoPd, with properties calculated at the PBE level.

Calculated values
crystal system	cubic
density of states at the Fermi level	0.76	states/eV per atom
formation enthalpy at 0 K	-0.247	eV per atom

a = 6.8027 Å, b = 6.8027 Å, c = 6.8027 Å
α = 90.00°, β = 90.00°, γ = 90.00°
Last column: nearest neighbours and their distance in Å.
Space group F-43m (No. 216)
Unique sites:
Hf: 0.0000 0.0000 0.0000  4 Pd 2.95, 4 Mo 2.95
Pa: 0.0000 0.0000 0.5000  4 Mo 2.95, 4 Pd 2.95
Mo: 0.2500 0.2500 0.7500  4 Hf 2.95, 4 Pa 2.95
Pd: 0.2500 0.2500 0.2500  4 Hf 2.95, 4 Pa 2.95